(1)
The following is a DFT calculation (PBE) of Na3LiIn8 after structural relaxation.

abc: 10.560 10.560 10.560
angles: 34.48 34.48 34.48
Positions (direct):
Na: 0.000 0.000 0.000
Na: 0.124 0.124 0.124
Na: 0.622 0.622 0.622
Li: 0.499 0.499 0.499
In: 0.061 0.061 0.560
In: 0.061 0.560 0.061
In: 0.064 0.562 0.562
In: 0.312 0.312 0.312
In: 0.560 0.061 0.061
In: 0.562 0.064 0.562
In: 0.562 0.562 0.064
In: 0.812 0.812 0.812

Properties
Space group: R3m, No. 160
DFT total energy: -2.38 eV/atom
Formation energy from the elements: -0.070 eV per atom



(2)
The following is a DFT calculation (PBE) of TbPr2Cd after structural relaxation.

abc: 12.669 12.669 12.669
angles: 16.12 16.12 16.12
Positions (direct):
Tb: 0.000 0.000 0.000
Pr: 0.411 0.411 0.411
Pr: 0.589 0.589 0.589
Cd: 0.500 0.500 0.500

Properties
Space group: R-3m, No. 166
DFT total energy: -3.63 eV/atom
Formation energy from the elements: 0.143 eV per atom



> DFT total energy of number 1 (Na3LiIn8)?

-2.38 eV/atom



> Which of these has the highest DFT total energy?

Na3LiIn8



> The lowest DFT total energy belongs to which entry?

TbPr2Cd



> formation energy from the elements of number 1 (Na3LiIn8)?

-0.070 eV per atom